1.
# HfMnIO2, relaxed, DFT PBE+U
data_HfMnIO2
_chemical_formula_sum 'Hf1 Mn1 I1 O2'
_space_group_name_H-M_alt 'P 4/m m m'
_space_group_IT_number 123
_space_group_name_Hall '-P 4 2'
_cell_length_a 4.093
_cell_length_b 4.093
_cell_length_c 6.091
_cell_angle_alpha 90.00
_cell_angle_beta 90.00
_cell_angle_gamma 90.00
loop_
_atom_site_label
_atom_site_type_symbol
_atom_site_fract_x
_atom_site_fract_y
_atom_site_fract_z
Hf1 Hf 0.000 0.000 0.000
Mn1 Mn 0.500 0.500 0.500
I1 I 0.000 0.000 0.500
O1 O 0.000 0.500 0.000
# Excess energy over the best structure of this formula in the dataset (meV/atom): 0
# Size of the total moment (μB/f.u.): 4.9
# Mass density (g/cm³): 6.38

2.
# V2MoO8, relaxed, DFT PBE+U
data_V2MoO8
_chemical_formula_sum 'V4 Mo2 O16'
_space_group_name_H-M_alt 'C 1 m 1'
_space_group_IT_number 8
_space_group_name_Hall 'C -2y'
_cell_length_a 19.057
_cell_length_b 3.701
_cell_length_c 4.501
_cell_angle_alpha 90.00
_cell_angle_beta 90.43
_cell_angle_gamma 90.00
loop_
_atom_site_label
_atom_site_type_symbol
_atom_site_fract_x
_atom_site_fract_y
_atom_site_fract_z
V1 V 0.000 0.000 0.000
V2 V 0.121 0.500 0.217
Mo1 Mo 0.311 0.500 0.200
O1 O 0.019 0.500 0.096
O2 O 0.101 0.000 0.119
O3 O 0.123 0.500 0.575
O4 O 0.212 0.500 0.113
O5 O 0.310 0.000 0.101
O6 O 0.311 0.500 0.581
O7 O 0.410 0.500 0.115
O8 O 0.496 0.500 0.642
# Excess energy over the best structure of this formula in the dataset (meV/atom): 0
# Size of the total moment (μB/f.u.): 0.0
# Mass density (g/cm³): 3.41